No. 1
{
  "formula": "Y2MnAl",
  "functional": "PBE",
  "state": "relaxed",
  "delta_e_f_ev_per_atom": 0.088,
  "spacegroup": "F-43m (216)",
  "crystal_system": "cubic",
  "final_energy_ev_per_atom": -6.373,
  "lattice_angstrom": [[4.959, 0.000, 0.000], [2.479, 4.294, 0.000], [2.479, 1.431, 4.049]],
  "species": ["Y", "Y", "Mn", "Al"],
  "frac_coords": [[0.000, 0.000, 0.000], [0.250, 0.250, 0.250], [0.750, 0.750, 0.750], [0.500, 0.500, 0.500]]
}

No. 2
{
  "formula": "NaAs2SBr",
  "functional": "PBE",
  "state": "relaxed",
  "relative_energy_kcal_per_mol_atoms": 0.00,
  "spacegroup": "P4/mmm (123)",
  "crystal_system": "tetragonal",
  "final_energy_ev_per_atom": -3.188,
  "lattice_angstrom": [[4.682, 0.000, 0.000], [0.000, 4.682, 0.000], [0.000, 0.000, 8.297]],
  "species": ["Na", "As", "As", "S", "Br"],
  "frac_coords": [[0.500, 0.500, 0.500], [0.000, 0.500, 0.000], [0.500, 0.000, 0.000], [0.000, 0.000, 0.000], [0.000, 0.000, 0.500]]
}

No. 3
{
  "formula": "Tm3BeC2",
  "functional": "PBE",
  "state": "relaxed",
  "delta_e_f_ev_per_atom": 0.002,
  "spacegroup": "Imma (74)",
  "crystal_system": "orthorhombic",
  "final_energy_ev_per_atom": -5.929,
  "lattice_angstrom": [[6.028, -0.396, -2.398], [-3.433, 5.348, -1.360], [-0.106, 0.396, 6.486]],
  "species": ["Tm", "Tm", "Tm", "Tm", "Tm", "Tm", "Be", "Be", "C", "C", "C", "C"],
  "frac_coords": [[0.039, 0.750, 0.789], [0.961, 0.250, 0.211], [0.500, 0.296, 0.296], [0.000, 0.796, 0.296], [0.000, 0.204, 0.704], [0.500, 0.704, 0.704], [0.565, 0.250, 0.815], [0.435, 0.750, 0.185], [0.309, 0.250, 0.559], [0.000, 0.500, 0.000], [0.500, 0.000, 0.000], [0.691, 0.750, 0.441]]
}

No. 4
{
  "formula": "Ac4La3TbTe8",
  "functional": "PBE",
  "state": "relaxed",
  "spacegroup": "R-3m (166)",
  "crystal_system": "trigonal",
  "final_energy_ev_per_atom": -5.311,
  "lattice_angstrom": [[-6.503, -5.479, 3.621], [3.783, 1.073, 8.418], [-2.436, 7.431, -4.926]],
  "species": ["Ac", "Ac", "Ac", "Ac", "La", "La", "La", "Tb", "Te", "Te", "Te", "Te", "Te", "Te", "Te", "Te"],
  "frac_coords": [[0.500, 0.000, 0.000], [0.500, 0.000, 0.500], [0.000, 0.000, 0.000], [0.000, 0.000, 0.500], [0.500, 0.500, 0.000], [0.500, 0.500, 0.500], [0.000, 0.500, 0.500], [0.000, 0.500, 0.000], [0.241, 0.735, 0.994], [0.241, 0.735, 0.482], [0.253, 0.260, 0.507], [0.752, 0.735, 0.994], [0.248, 0.265, 0.006], [0.747, 0.740, 0.493], [0.759, 0.265, 0.518], [0.759, 0.265, 0.006]]
}